Crystalline K2Co2NiO4 at its relaxed geometry. Source: Alexandria, functional PBE+U.

Summary:
Calculated total energy: -4.921 eV/atom
ρ: 4.132 g/cm³

The structure in POSCAR format:
```
K2Co2NiO4
1.0
6.6906 -1.6029 0.0000
6.6906 1.6029 0.0000
-1.8079 0.0000 5.9724
K Co Ni O
2 2 1 4
Cartesian
1.6220 0.0000 0.0921
9.9514 0.0000 5.8803
3.5355 0.0000 2.9884
8.0379 0.0000 2.9840
-0.9039 0.0000 2.9862
1.7401 0.0000 4.0924
5.1107 0.0000 4.1540
6.4627 0.0000 1.8184
9.8333 0.0000 1.8800
```